No. 1
Crystalline La8DyY3 at its relaxed geometry. Source: the Alexandria database, functional GGA-PBE.

Cell lengths 8.6008, 8.6008, 8.6008 Å; angles 117.73, 117.73, 93.97 degrees
Element x y z (fractional)
La: 0.1292 0.1292 0.7549
La: 0.2496 0.7470 0.0000
La: 0.2530 0.2530 0.5026
La: 0.3743 0.3743 0.2451
La: 0.6257 0.8708 0.0000
La: 0.7470 0.2496 0.0000
La: 0.7504 0.7504 0.4974
La: 0.8708 0.6257 0.0000
Dy: 0.5000 0.5000 0.0000
Y: 0.0000 0.0000 0.0000
Y: 0.2500 0.7500 0.5000
Y: 0.7500 0.2500 0.5000

- Total DFT energy (no corrections): -0.3497 Ry/atom
- SG: I-42m, No. 121
- Density of states at the Fermi level: 1.776 states/eV per atom

***

No. 2
Crystalline Mn2CdSb at its relaxed geometry. Source: the Alexandria database, functional GGA-PBE.

Cell lengths 8.9952, 8.9952, 8.9952 Å; angles 20.23, 20.23, 20.23 degrees
Element x y z (fractional)
Mn: 0.2491 0.2491 0.2491
Mn: 0.7509 0.7509 0.7509
Cd: 0.0000 0.0000 0.0000
Sb: 0.5000 0.5000 0.5000

- SG: R-3m, No. 166
- E above lowest polymorph: 0.51 eV per formula unit
- Density of states at the Fermi level: 0.908 states/eV per atom

***

No. 3
Crystalline TmThSc14 at its relaxed geometry. Source: the Alexandria database, functional GGA-PBE.

Cell lengths 10.4494, 6.6773, 6.6773 Å; angles 60.31, 90.00, 90.00 degrees
Element x y z (fractional)
Tm: 0.0000 0.0000 0.0000
Th: 0.0000 0.4987 0.4987
Sc: 0.0000 0.0008 0.5036
Sc: 0.0000 0.5036 0.0008
Sc: 0.2528 0.6683 0.6683
Sc: 0.2556 0.1700 0.1700
Sc: 0.2571 0.1698 0.6670
Sc: 0.2571 0.6670 0.1698
Sc: 0.5000 0.0008 0.5017
Sc: 0.5000 0.0018 0.0018
Sc: 0.5000 0.5017 0.0008
Sc: 0.5000 0.5016 0.5016
Sc: 0.7429 0.1698 0.6670
Sc: 0.7429 0.6670 0.1698
Sc: 0.7444 0.1700 0.1700
Sc: 0.7472 0.6683 0.6683

- Total DFT energy (no corrections): -0.4613 Ry/atom
- SG: Amm2, No. 38
- Density of states at the Fermi level: 1.722 states/eV per atom

***

No. 4
Crystalline Pm4PdAu2 at its relaxed geometry. Source: the Alexandria database, functional GGA-PBE.

Cell lengths 7.4496, 7.4496, 6.1570 Å; angles 107.30, 107.30, 37.30 degrees
Element x y z (fractional)
Pm: 0.0820 0.0820 0.2928
Pm: 0.3449 0.3449 0.2089
Pm: 0.6551 0.6551 0.7911
Pm: 0.9180 0.9180 0.7072
Pd: 0.5000 0.5000 0.0000
Au: 0.2737 0.2737 0.6851
Au: 0.7263 0.7263 0.3149

- Total DFT energy (no corrections): -0.3680 Ry/atom
- SG: C2/m, No. 12
- Density of states at the Fermi level: 0.881 states/eV per atom

***

No. 5
Crystalline Ac8NiPd3I4 at its relaxed geometry. Source: the Alexandria database, functional GGA-PBE.

Cell lengths 8.9272, 8.9272, 10.0770 Å; angles 116.35, 116.35, 59.99 degrees
Element x y z (fractional)
Ac: 0.2245 0.2245 0.6848
Ac: 0.2245 0.7362 0.6847
Ac: 0.2638 0.7755 0.3153
Ac: 0.2705 0.2705 0.3120
Ac: 0.7295 0.7295 0.6880
Ac: 0.7362 0.2245 0.6847
Ac: 0.7755 0.2638 0.3153
Ac: 0.7755 0.7755 0.3152
Ni: 0.0000 0.0000 0.5000
Pd: 0.0000 0.5000 0.5000
Pd: 0.5000 0.0000 0.5000
Pd: 0.5000 0.5000 0.5000
I: 0.0000 0.0000 0.0000
I: 0.0000 0.5000 0.0000
I: 0.5000 0.0000 0.0000
I: 0.5000 0.5000 0.0000

- Total DFT energy (no corrections): -0.3442 Ry/atom
- SG: C2/m, No. 12
- Density of states at the Fermi level: 0.663 states/eV per atom

***

No. 6
Crystalline YMn2Fe at its relaxed geometry. Source: the Alexandria database, functional GGA-PBE.

Cell lengths 3.0531, 3.0531, 6.7392 Å; angles 90.00, 90.00, 90.00 degrees
Element x y z (fractional)
Y: 0.0000 0.0000 0.0000
Mn: 0.0000 0.0000 0.4817
Mn: 0.5000 0.5000 0.6715
Fe: 0.5000 0.5000 0.3025

- SG: P4mm, No. 99
- E above lowest polymorph: 0.65 eV per formula unit
- Density of states at the Fermi level: 1.263 states/eV per atom

***

No. 7
Crystalline NaAsI2 at its relaxed geometry. Source: the Alexandria database, functional GGA-PBE.

Cell lengths 9.0136, 9.0136, 9.0136 Å; angles 32.07, 32.07, 32.07 degrees
Element x y z (fractional)
Na: 0.0000 0.0000 0.0000
As: 0.5000 0.5000 0.5000
I: 0.1138 0.1138 0.1138
I: 0.8862 0.8862 0.8862

- SG: R-3m, No. 166
- E above lowest polymorph: 1.04 eV per formula unit
- Density of states at the Fermi level: 0.796 states/eV per atom

***

No. 8
Crystalline BaCaRe at its relaxed geometry. Source: the Alexandria database, functional GGA-PBE.

Cell lengths 5.1673, 5.1673, 5.1673 Å; angles 60.00, 60.00, 60.00 degrees
Element x y z (fractional)
Ba: 0.0000 0.0000 0.0000
Ca: 0.5000 0.5000 0.5000
Re: 0.2500 0.2500 0.2500

- SG: F-43m, No. 216
- E above lowest polymorph: 0.69 eV per formula unit
- Density of states at the Fermi level: 2.164 states/eV per atom

***

No. 9
Crystalline Pm2CuSi at its relaxed geometry. Source: the Alexandria database, functional GGA-PBE.

Cell lengths 5.0743, 5.0743, 5.0743 Å; angles 60.00, 60.00, 60.00 degrees
Element x y z (fractional)
Pm: 0.2500 0.2500 0.2500
Pm: 0.7500 0.7500 0.7500
Cu: 0.0000 0.0000 0.0000
Si: 0.5000 0.5000 0.5000

- Total DFT energy (no corrections): -0.3777 Ry/atom
- SG: Fm-3m, No. 225
- Density of states at the Fermi level: 0.903 states/eV per atom

***

No. 10
Crystalline SbPPb2 at its relaxed geometry. Source: the Alexandria database, functional GGA-PBE.

Cell lengths 5.3132, 5.3132, 5.3132 Å; angles 60.00, 60.00, 60.00 degrees
Element x y z (fractional)
Sb: 0.0000 0.0000 0.0000
P: 0.7500 0.7500 0.7500
Pb: 0.2500 0.2500 0.2500
Pb: 0.5000 0.5000 0.5000

- SG: F-43m, No. 216
- E above lowest polymorph: 1.14 eV per formula unit
- Density of states at the Fermi level: 1.213 states/eV per atom

***

No. 11
Crystalline Mg3PdAu12 at its relaxed geometry. Source: the Alexandria database, functional GGA-PBE.

Cell lengths 4.1614, 4.1614, 16.3501 Å; angles 90.00, 90.00, 90.00 degrees
Element x y z (fractional)
Mg: 0.0000 0.0000 0.0000
Mg: 0.0000 0.0000 0.2545
Mg: 0.0000 0.0000 0.7455
Pd: 0.0000 0.0000 0.5000
Au: 0.0000 0.5000 0.1260
Au: 0.0000 0.5000 0.3762
Au: 0.0000 0.5000 0.6238
Au: 0.0000 0.5000 0.8740
Au: 0.5000 0.0000 0.1260
Au: 0.5000 0.0000 0.3762
Au: 0.5000 0.0000 0.6238
Au: 0.5000 0.0000 0.8740
Au: 0.5000 0.5000 0.0000
Au: 0.5000 0.5000 0.2512
Au: 0.5000 0.5000 0.5000
Au: 0.5000 0.5000 0.7488

- Total DFT energy (no corrections): -0.2496 Ry/atom
- SG: P4/mmm, No. 123
- Density of states at the Fermi level: 0.331 states/eV per atom

***

No. 12
Crystalline MgZn2Hg at its relaxed geometry. Source: the Alexandria database, functional GGA-PBE.

Cell lengths 3.1244, 4.3890, 5.6880 Å; angles 90.00, 105.93, 90.00 degrees
Element x y z (fractional)
Mg: 0.0000 0.0000 0.0000
Zn: 0.6058 0.5000 0.2162
Zn: 0.7168 0.0000 0.4618
Hg: 0.3672 0.5000 0.7035

- SG: Pm, No. 6
- E above lowest polymorph: 0.09 eV per formula unit
- Density of states at the Fermi level: 0.238 states/eV per atom

***

No. 13
Crystalline Ga4AgPd at its relaxed geometry. Source: the Alexandria database, functional GGA-PBE.

Cell lengths 6.8733, 6.8733, 5.5925 Å; angles 109.07, 109.07, 103.26 degrees
Element x y z (fractional)
Ga: 0.0485 0.6868 0.9343
Ga: 0.1823 0.4034 0.6561
Ga: 0.3132 0.9515 0.5657
Ga: 0.4034 0.1823 0.1561
Ga: 0.5966 0.8177 0.8439
Ga: 0.6868 0.0485 0.4343
Ga: 0.8177 0.5966 0.3439
Ga: 0.9515 0.3132 0.0657
Ag: 0.4005 0.5995 0.2500
Ag: 0.5995 0.4005 0.7500
Pd: 0.0130 0.9870 0.7500
Pd: 0.9870 0.0130 0.2500

- SG: C2/c, No. 15
- E above lowest polymorph: 0.23 eV per formula unit
- Density of states at the Fermi level: 0.345 states/eV per atom

***

No. 14
Crystalline KSc2Se at its relaxed geometry. Source: the Alexandria database, functional GGA-PBE.

Cell lengths 5.3561, 5.3561, 5.3561 Å; angles 60.00, 60.00, 60.00 degrees
Element x y z (fractional)
K: 0.0000 0.0000 0.0000
Sc: 0.2500 0.2500 0.2500
Sc: 0.5000 0.5000 0.5000
Se: 0.7500 0.7500 0.7500

- Total DFT energy (no corrections): -0.3021 Ry/atom
- SG: F-43m, No. 216
- Density of states at the Fermi level: 1.513 states/eV per atom

***

No. 15
Crystalline ZrMnH3 at its relaxed geometry. Source: the Alexandria database, functional GGA-PBE.

Cell lengths 5.6090, 4.5941, 6.4367 Å; angles 90.00, 106.74, 90.00 degrees
Element x y z (fractional)
Zr: 0.1694 0.2436 0.1676
Zr: 0.1694 0.2564 0.6676
Zr: 0.8306 0.7436 0.3324
Zr: 0.8306 0.7564 0.8324
Mn: 0.3360 0.7370 0.4573
Mn: 0.3360 0.7630 0.9573
Mn: 0.6640 0.2370 0.0427
Mn: 0.6640 0.2630 0.5427
H: 0.1519 0.7465 0.1633
H: 0.1519 0.7535 0.6633
H: 0.3592 0.1004 0.4666
H: 0.3592 0.3996 0.9666
H: 0.4985 0.0022 0.8395
H: 0.4985 0.4978 0.3395
H: 0.5015 0.5022 0.6605
H: 0.5015 0.9978 0.1605
H: 0.6408 0.6004 0.0334
H: 0.6408 0.8996 0.5334
H: 0.8481 0.2465 0.3367
H: 0.8481 0.2535 0.8367

- Total DFT energy (no corrections): -0.4229 Ry/atom
- SG: P2_1/c, No. 14
- Density of states at the Fermi level: 0.421 states/eV per atom

***

No. 16
Crystalline BeTeRu2 at its relaxed geometry. Source: the Alexandria database, functional GGA-PBE.

Cell lengths 3.0927, 3.0927, 6.0064 Å; angles 90.00, 90.00, 90.00 degrees
Element x y z (fractional)
Be: 0.0000 0.0000 0.0000
Te: 0.0000 0.0000 0.5000
Ru: 0.5000 0.5000 0.2283
Ru: 0.5000 0.5000 0.7717

- SG: P4/mmm, No. 123
- E above lowest polymorph: 0.37 eV per formula unit
- Density of states at the Fermi level: 0.385 states/eV per atom

***

No. 17
Crystalline YHfFeRu at its relaxed geometry. Source: the Alexandria database, functional GGA-PBE.

Cell lengths 4.6388, 4.6388, 4.6388 Å; angles 60.00, 60.00, 60.00 degrees
Element x y z (fractional)
Y: 0.0000 0.0000 0.0000
Hf: 0.5000 0.5000 0.5000
Fe: 0.7500 0.7500 0.7500
Ru: 0.2500 0.2500 0.2500

- Total DFT energy (no corrections): -0.6448 Ry/atom
- SG: F-43m, No. 216
- Density of states at the Fermi level: 0.938 states/eV per atom

***

No. 18
Crystalline RbF3 at its relaxed geometry. Source: the Alexandria database, functional GGA-PBE.

Cell lengths 4.9966, 4.9966, 4.9966 Å; angles 49.55, 49.55, 49.55 degrees
Element x y z (fractional)
Rb: 0.0000 0.0000 0.0000
F: 0.2144 0.2144 0.2144
F: 0.5000 0.5000 0.5000
F: 0.7856 0.7856 0.7856

- Total DFT energy (no corrections): -0.2076 Ry/atom
- SG: R-3m, No. 166
- Density of states at the Fermi level: 0.846 states/eV per atom

***

No. 19
Crystalline Rb2CrBI6 at its relaxed geometry. Source: the Alexandria database, functional GGA-PBE.

Cell lengths 7.9898, 7.9898, 7.9898 Å; angles 119.95, 119.95, 90.08 degrees
Element x y z (fractional)
Rb: 0.2500 0.7500 0.5000
Rb: 0.7500 0.2500 0.5000
Cr: 0.0000 0.0000 0.0000
B: 0.5000 0.5000 0.0000
I: 0.2464 0.2464 0.4928
I: 0.2464 0.7536 0.0000
I: 0.2470 0.2470 0.0000
I: 0.7530 0.7530 0.0000
I: 0.7536 0.2464 0.0000
I: 0.7536 0.7536 0.5072

- Total DFT energy (no corrections): -0.2304 Ry/atom
- SG: I4/mmm, No. 139
- Density of states at the Fermi level: 0.000 states/eV per atom

***

No. 20
Crystalline YAlTe2I at its relaxed geometry. Source: the Alexandria database, functional GGA-PBE.

Cell lengths 5.8757, 5.8757, 6.0595 Å; angles 90.00, 90.00, 90.00 degrees
Element x y z (fractional)
Y: 0.0000 0.0000 0.0000
Al: 0.5000 0.5000 0.5000
Te: 0.0000 0.5000 0.0000
Te: 0.5000 0.0000 0.0000
I: 0.0000 0.0000 0.5000

- SG: P4/mmm, No. 123
- E above lowest polymorph: 0.00 eV per formula unit
- Density of states at the Fermi level: 1.192 states/eV per atom